# 1
Ba3In2Pt2 after structural relaxation. Source: the Alexandria database, functional PBE-GGA.

Calculated values
symmetry = Pbcm (57)
crystal system = orthorhombic
ΔH_f (0 K) = -4.41 eV per formula unit

Cell: 6.576 8.966 15.012 Å, 90.00 90.00 90.00°
Element x y z (fractional)
Pt 0.622 0.466 0.407
Pt 0.378 0.534 0.907
Pt 0.378 0.966 0.093
Pt 0.622 0.034 0.593
Pt 0.622 0.034 0.907
Pt 0.378 0.966 0.407
Pt 0.622 0.466 0.093
Pt 0.378 0.534 0.593
Ba 0.844 0.396 0.593
Ba 0.156 0.896 0.593
Ba 0.844 0.396 0.907
Ba 0.642 0.739 0.750
Ba 0.358 0.239 0.750
Ba 0.156 0.896 0.907
Ba 0.642 0.761 0.250
Ba 0.156 0.604 0.407
Ba 0.156 0.604 0.093
Ba 0.844 0.104 0.407
Ba 0.844 0.104 0.093
Ba 0.358 0.261 0.250
In 0.629 0.750 0.500
In 0.840 0.409 0.250
In 0.371 0.250 0.000
In 0.629 0.750 0.000
In 0.160 0.909 0.250
In 0.840 0.091 0.750
In 0.160 0.591 0.750
In 0.371 0.250 0.500

# 2
TiSbRhI2 after structural relaxation. Source: the Alexandria database, functional PBE-GGA.

Calculated values
symmetry = P4/mmm (123)
crystal system = tetragonal
uncorrected formation energy = 3.3 eV per formula unit
excess energy over the best structure of this formula in the dataset = 0.00 eV per formula unit

Cell: 5.384 5.384 5.113 Å, 90.00 90.00 90.00°
Site moments in Bohr magnetons follow the coordinates.
Element x y z (fractional)
I 0.000 0.500 0.000  -0.01
I 0.500 0.000 0.000  -0.01
Sb 0.000 0.000 0.500  0.06
Rh 0.000 0.000 0.000  -0.02
Ti 0.500 0.500 0.500  -0.02

# 3
InHg4Pb after structural relaxation. Source: the Alexandria database, functional PBE-GGA.

Calculated values
symmetry = Cmc2_1 (36)
crystal system = orthorhombic
ΔH_f (0 K) = 0.17 eV per formula unit
excess energy over the best structure of this formula in the dataset = 0.04 eV per formula unit

Cell: 3.590 8.298 11.277 Å, 90.00 90.00 102.49°
Element x y z (fractional)
Hg 0.465 0.930 0.518
Hg 0.025 0.051 0.268
Hg 0.310 0.620 0.771
Hg 0.876 0.752 0.019
Hg 0.975 0.949 0.768
Hg 0.690 0.380 0.271
Hg 0.535 0.070 0.018
Hg 0.124 0.248 0.519
In 0.642 0.284 0.765
In 0.358 0.716 0.265
Pb 0.207 0.413 0.020
Pb 0.793 0.587 0.520

# 4
NaLa2Ir2 after structural relaxation. Source: the Alexandria database, functional PBE-GGA.

Calculated values
symmetry = I4/mmm (139)
crystal system = tetragonal
ΔH_f (0 K) = -1.28 eV per formula unit
excess energy over the best structure of this formula in the dataset = 0.87 eV per formula unit

Cell: 5.432 5.432 5.965 Å, 62.91 62.91 90.00°
Element x y z (fractional)
La 0.250 0.750 0.500
La 0.750 0.250 0.500
Ir 0.647 0.647 0.706
Ir 0.353 0.353 0.294
Na 0.000 0.000 0.000

# 5
KRb2AcF6 after structural relaxation. Source: the Alexandria database, functional PBE-GGA.

Calculated values
symmetry = P2_1/c (14)
crystal system = monoclinic
uncorrected formation energy = -33.0 eV per formula unit

Cell: 6.780 6.980 9.682 Å, 90.00 91.50 90.00°
Element x y z (fractional)
F 0.882 0.558 0.265
F 0.382 0.942 0.765
F 0.118 0.442 0.735
F 0.618 0.058 0.235
F 0.785 0.810 0.945
F 0.285 0.690 0.445
F 0.715 0.310 0.555
F 0.215 0.190 0.055
F 0.187 0.223 0.429
F 0.813 0.777 0.571
F 0.313 0.723 0.071
F 0.687 0.277 0.929
Rb 0.020 0.950 0.245
Rb 0.480 0.450 0.255
Rb 0.520 0.550 0.745
Rb 0.980 0.050 0.755
Ac 0.500 0.000 0.000
Ac 0.000 0.500 0.500
K 0.500 0.000 0.500
K 0.000 0.500 0.000

# 6
K2CaIrO6 after structural relaxation. Source: the Alexandria database, functional PBE-GGA.

Calculated values
symmetry = Fm-3m (225)
crystal system = cubic
uncorrected formation energy = -14.2 eV per formula unit

Cell: 5.946 5.946 5.946 Å, 60.00 60.00 60.00°
Element x y z (fractional)
Ca 0.500 0.500 0.500
O 0.775 0.775 0.225
O 0.775 0.225 0.225
O 0.775 0.225 0.775
O 0.225 0.775 0.225
O 0.225 0.225 0.775
O 0.225 0.775 0.775
K 0.250 0.250 0.250
K 0.750 0.750 0.750
Ir 0.000 0.000 0.000

# 7
Mn2Al2Ge after structural relaxation. Source: the Alexandria database, functional PBE-GGA.

Calculated values
symmetry = P4/mbm (127)
crystal system = tetragonal
ΔH_f (0 K) = 0.50 eV per formula unit
excess energy over the best structure of this formula in the dataset = 1.11 eV per formula unit

Cell: 7.319 7.319 2.818 Å, 90.00 90.00 90.00°
Site moments in Bohr magnetons follow the coordinates.
Element x y z (fractional)
Mn 0.833 0.333 0.500  2.76
Mn 0.167 0.667 0.500  2.76
Mn 0.667 0.833 0.500  2.76
Mn 0.333 0.167 0.500  2.76
Ge 0.000 0.000 0.000  0.01
Ge 0.500 0.500 0.000  0.01
Al 0.871 0.629 0.000  -0.06
Al 0.629 0.129 0.000  -0.06
Al 0.371 0.871 0.000  -0.06
Al 0.129 0.371 0.000  -0.06

# 8
ScNi3H after structural relaxation. Source: the Alexandria database, functional PBE-GGA.

Calculated values
symmetry = C2/m (12)
crystal system = monoclinic
excess energy over the best structure of this formula in the dataset = 1.91 eV per formula unit

Cell: 15.820 6.784 6.784 Å, 156.83 154.33 25.67°
Element x y z (fractional)
H 0.256 0.131 0.869
H 0.744 0.869 0.131
Ni 0.981 0.366 0.634
Ni 0.019 0.634 0.366
Ni 0.312 0.467 0.533
Ni 0.810 0.219 0.781
Ni 0.190 0.781 0.219
Ni 0.688 0.533 0.467
Sc 0.614 0.270 0.730
Sc 0.386 0.730 0.270

# 9
Li2PmB9 after structural relaxation. Source: the Alexandria database, functional PBE-GGA.

Calculated values
symmetry = R-3m (166)
crystal system = trigonal
ΔH_f (0 K) = 0.07 eV per formula unit

Cell: 4.546 4.546 7.220 Å, 71.65 71.65 60.00°
Element x y z (fractional)
Li 0.137 0.137 0.589
Li 0.863 0.863 0.411
B 0.417 0.417 0.749
B 0.364 0.002 0.270
B 0.583 0.583 0.251
B 0.636 0.636 0.730
B 0.002 0.364 0.270
B 0.998 0.636 0.730
B 0.636 0.998 0.730
B 0.500 0.500 0.500
B 0.364 0.364 0.270
Pm 0.000 0.000 0.000

# 10
YAlNi after structural relaxation. Source: the Alexandria database, functional PBE-GGA.

Calculated values
symmetry = Amm2 (38)
crystal system = orthorhombic
ΔH_f (0 K) = -1.54 eV per formula unit

Cell: 5.369 5.369 8.483 Å, 90.00 90.00 119.54°
Element x y z (fractional)
Y 0.667 0.333 0.705
Y 0.667 0.333 0.295
Y 0.330 0.670 0.177
Y 0.330 0.670 0.823
Ni 0.832 0.663 0.000
Ni 0.836 0.164 0.000
Ni 0.337 0.168 0.000
Ni 0.167 0.833 0.500
Al 0.168 0.341 0.500
Al 0.004 0.996 0.239
Al 0.659 0.832 0.500
Al 0.004 0.996 0.761

# 11
ReAsPb3 after structural relaxation. Source: the Alexandria database, functional PBE-GGA.

Calculated values
symmetry = Pm-3m (221)
crystal system = cubic
ΔH_f (0 K) = 3.66 eV per formula unit
excess energy over the best structure of this formula in the dataset = 0.00 eV per formula unit

Cell: 5.337 5.337 5.337 Å, 90.00 90.00 90.00°
Site moments in Bohr magnetons follow the coordinates.
Element x y z (fractional)
Pb 0.000 0.000 0.500  0.00
Pb 0.000 0.500 0.000  0.00
Pb 0.500 0.000 0.000  -0.03
Re 0.000 0.000 0.000  0.59
As 0.500 0.500 0.500  0.57

# 12
PuCuPd2O6 after structural relaxation. Source: the Alexandria database, functional PBE-GGA.

Calculated values
symmetry = P1 (1)
crystal system = triclinic
uncorrected formation energy = -11.5 eV per formula unit

Cell: 5.496 5.371 7.315 Å, 90.08 127.31 118.07°
Site moments in Bohr magnetons follow the coordinates.
Element x y z (fractional)
Pu 0.977 0.974 0.941  2.62
O 0.838 0.723 0.104  -0.16
O 0.759 0.605 0.650  -0.18
O 0.091 0.201 0.713  -0.09
O 0.533 0.097 0.226  -0.16
O 0.436 0.881 0.705  -0.16
O 0.136 0.399 0.119  -0.10
Pd 0.613 0.297 0.904  -0.17
Pd 0.621 0.808 0.401  -0.15
Cu 0.961 0.492 0.540  -0.41